[1]
Computed, not measured: AcSmCoAu after structural relaxation at the PBE level of DFT.

Cell lengths 5.215, 5.215, 5.215 Å; angles 60.00, 60.00, 60.00 degrees
Last column: magnetic moment on the atom in μB.
Positions (direct):
Au: 0.000 0.000 0.000  0.00
Sm: 0.250 0.250 0.250  -0.09
Ac: 0.750 0.750 0.750  -0.04
Co: 0.500 0.500 0.500  0.83

For the formation energy, the calculation gives -97 kJ/mol of formula units. As for the space group: No. 216. The value obtained for the density is 10.49 g/cm³. For the total magnetic moment, the calculation gives 0.145 μB per atom.



[2]
Computed, not measured: Ac2Zn6CoAu after structural relaxation at the PBE level of DFT.

Cell lengths 6.798, 6.799, 6.796 Å; angles 59.92, 59.92, 90.00 degrees
Last column: magnetic moment on the atom in μB.
Positions (direct):
Zn: 0.261 0.261 0.000  0.00
Zn: 0.262 0.739 0.000  0.00
Zn: 0.739 0.739 0.000  0.00
Zn: 0.738 0.261 0.000  0.00
Zn: 0.261 0.261 0.477  0.00
Zn: 0.739 0.739 0.523  0.00
Co: 0.500 0.500 0.000  0.45
Ac: 0.250 0.750 0.500  0.04
Ac: 0.750 0.250 0.500  0.04
Au: 0.000 0.000 0.000  0.00

For the formation energy, the calculation gives -204 kJ/mol of formula units. As for the space group: No. 12. The value obtained for the density is 8.26 g/cm³. For the total magnetic moment, the calculation gives 0.074 μB per atom.



[3]
Computed, not measured: AcCrAu4 after structural relaxation at the PBE level of DFT.

Cell lengths 5.694, 5.694, 5.694 Å; angles 60.00, 60.00, 60.00 degrees
Last column: magnetic moment on the atom in μB.
Positions (direct):
Au: 0.626 0.626 0.122  0.06
Au: 0.626 0.122 0.626  0.06
Au: 0.626 0.626 0.626  0.06
Au: 0.122 0.626 0.626  0.06
Cr: 0.000 0.000 0.000  4.04
Ac: 0.250 0.250 0.250  0.10

For the formation energy, the calculation gives -129 kJ/mol of formula units. As for the space group: No. 216. The value obtained for the density is 13.57 g/cm³. For the total magnetic moment, the calculation gives 0.863 μB per atom.



[4]
Computed, not measured: CsAc2Au after structural relaxation at the PBE level of DFT.

Cell lengths 4.399, 4.399, 12.685 Å; angles 80.02, 80.02, 60.00 degrees
Last column: magnetic moment on the atom in μB.
Positions (direct):
Cs: 0.000 0.000 0.000  0.03
Au: 0.500 0.500 0.500  0.03
Ac: 0.883 0.883 0.351  0.07
Ac: 0.117 0.117 0.649  0.07

For the formation energy, the calculation gives -57 kJ/mol of formula units. As for the space group: No. 166. The value obtained for the density is 6.25 g/cm³. For the total magnetic moment, the calculation gives 0.219 μB per atom.